A crystal of LaYOs4 relaxed with PBEsol, computed with meta-GGA SCAN.

Lattice parameters (Å, degrees): 5.363 5.363 5.363 60.00 60.00 60.00
Element x y z (fractional)
La  0.000  0.000  0.000
Y  0.750  0.750  0.750
Os  0.375  0.375  0.375
Os  0.375  0.375  0.874
Os  0.375  0.874  0.375
Os  0.874  0.375  0.375

Values from the calculation:
E_tot: -59.97 eV/atom

=====

A crystal of LaZr2Os relaxed with PBEsol, computed with meta-GGA SCAN.

Lattice parameters (Å, degrees): 3.233 3.233 29.022 90.00 90.00 120.00
Element x y z (fractional)
La  0.000  0.000  0.000
La  0.333  0.667  0.667
La  0.667  0.333  0.333
Zr  0.000  0.000  0.235
Zr  0.000  0.000  0.481
Zr  0.333  0.667  0.148
Zr  0.333  0.667  0.901
Zr  0.667  0.333  0.568
Zr  0.667  0.333  0.815
Os  0.000  0.000  0.748
Os  0.333  0.667  0.414
Os  0.667  0.333  0.081

Values from the calculation:
relative energy among the computed polymorphs: 0.096 eV/atom

=====

A crystal of La2ZrOs relaxed with PBEsol, computed with meta-GGA SCAN.

Lattice parameters (Å, degrees): 3.413 3.413 29.412 90.00 90.00 120.00
Element x y z (fractional)
La  0.000  0.000  0.240
La  0.000  0.000  0.760
La  0.333  0.667  0.427
La  0.333  0.667  0.907
La  0.667  0.333  0.093
La  0.667  0.333  0.573
Zr  0.000  0.000  0.000
Zr  0.333  0.667  0.667
Zr  0.667  0.333  0.333
Os  0.000  0.000  0.500
Os  0.333  0.667  0.167
Os  0.667  0.333  0.833

Values from the calculation:
E_tot: -46.75 eV/atom

=====

A crystal of LaZr2Os relaxed with PBEsol, computed with meta-GGA SCAN.

Lattice parameters (Å, degrees): 4.937 4.937 3.272 90.00 90.00 90.00
Element x y z (fractional)
La  0.000  0.000  0.000
Zr  0.000  0.500  0.500
Zr  0.500  0.000  0.500
Os  0.500  0.500  0.000

Values from the calculation:
relative energy among the computed polymorphs: 0.000 eV/atom

=====

A crystal of LaZrOs2 relaxed with PBEsol, computed with meta-GGA SCAN.

Lattice parameters (Å, degrees): 3.991 3.991 9.606 90.00 90.00 90.00
Element x y z (fractional)
La  0.000  0.000  0.000
La  0.500  0.500  0.500
Zr  0.000  0.500  0.750
Zr  0.500  0.000  0.250
Os  0.000  0.000  0.500
Os  0.000  0.500  0.250
Os  0.500  0.000  0.750
Os  0.500  0.500  0.000

Values from the calculation:
E_tot: -54.09 eV/atom

=====

A crystal of LaZrOs2 relaxed with PBEsol, computed with meta-GGA SCAN.

Lattice parameters (Å, degrees): 2.869 3.767 7.650 90.00 90.00 90.00
Element x y z (fractional)
La  0.000  0.000  0.000
Zr  0.500  0.500  0.641
Os  0.000  0.000  0.423
Os  0.500  0.500  0.287

Values from the calculation:
E_tot: -54.22 eV/atom